# NdZn (PBE, relaxed)
# Size of the total moment: 0.50 μB/f.u.
# ΔE_f: 55.5 kJ per mole of atoms
# Symmetry: F-43m, No. 216
data_NdZn
_symmetry_space_group_name_H-M 'P 1'
_symmetry_Int_Tables_number 1
_cell_length_a 4.687
_cell_length_b 4.687
_cell_length_c 4.687
_cell_angle_alpha 60.00
_cell_angle_beta 60.00
_cell_angle_gamma 60.00
loop_
_symmetry_equiv_pos_as_xyz
'x,y,z'
loop_
_atom_site_label
_atom_site_type_symbol
_atom_site_fract_x
_atom_site_fract_y
_atom_site_fract_z
Nd1 Nd 0.000 0.000 0.000
Zn1 Zn 0.750 0.750 0.750